{"formula": "SmNp2Ga9", "functional": "GGA-PBE", "state": "optimized geometry", "lattice": [[-3.5460, -2.0927, -1.1682], [2.2035, -3.6672, -0.1192], [-2.8431, -2.1118, 12.4131]], "species": ["Np", "Ga", "Ga", "Ga", "Sm", "Ga", "Ga", "Ga", "Ga", "Ga", "Ga", "Np"], "fractional_positions": [[0.0000, 0.0000, 0.3342], [0.5000, 0.0000, 0.5000], [0.0000, 0.5000, 0.1712], [0.5000, 0.5000, 0.3351], [0.0000, 0.0000, 0.0000], [0.5000, 0.5000, 0.0000], [0.5000, 0.0000, 0.8288], [0.0000, 0.5000, 0.8288], [0.5000, 0.0000, 0.1712], [0.0000, 0.5000, 0.5000], [0.5000, 0.5000, 0.6649], [0.0000, 0.0000, 0.6658]], "magnetic_moment_mub_per_cell": 7.718, "ef_ev_per_atom": -0.315, "e_tot_ev_per_atom": -5.1350}


{"formula": "SmNpGa4", "functional": "GGA-PBE", "state": "optimized geometry", "lattice": [[-5.1570, 1.4365, 1.4905], [-1.9019, -1.3209, 5.0515], [-0.7878, 3.9774, 3.7999]], "species": ["Sm", "Ga", "Ga", "Ga", "Ga", "Np"], "fractional_positions": [[0.2500, 0.2500, 0.2500], [0.1240, 0.6253, 0.6253], [0.6253, 0.6253, 0.6253], [0.6253, 0.1240, 0.6253], [0.6253, 0.6253, 0.1240], [0.0000, 0.0000, 0.0000]], "magnetic_moment_mub_per_cell": 4.742, "ef_ev_per_atom": -0.287, "e_tot_ev_per_atom": -5.2480}


{"formula": "SmNpGa2", "functional": "GGA-PBE", "state": "optimized geometry", "lattice": [[5.0931, 0.0000, 0.0000], [2.5465, 4.4107, 0.0000], [2.5465, 1.4702, 4.1588]], "species": ["Ga", "Np", "Ga", "Sm"], "fractional_positions": [[0.7501, 0.7501, 0.7498], [0.5000, 0.5000, 0.5000], [0.2499, 0.2499, 0.2502], [0.0000, 0.0000, 0.0000]], "magnetic_moment_mub_per_cell": 4.291, "ef_ev_per_atom": -0.201, "e_tot_ev_per_atom": -6.1295}


{"formula": "SmNp2Ga9", "functional": "GGA-PBE", "state": "optimized geometry", "lattice": [[5.5271, 0.0000, 0.0000], [2.7636, 4.7866, 0.0000], [2.7636, 1.5955, 8.8675]], "species": ["Np", "Ga", "Ga", "Ga", "Ga", "Ga", "Sm", "Ga", "Ga", "Ga", "Ga", "Np"], "fractional_positions": [[0.1436, 0.1436, 0.5693], [0.9234, 0.4112, 0.2541], [0.4112, 0.9234, 0.2541], [0.5000, 0.5000, 0.5000], [0.6641, 0.6641, 0.0078], [0.5888, 0.0766, 0.7459], [0.0000, 0.0000, 0.0000], [0.3359, 0.3359, 0.9922], [0.4112, 0.4112, 0.2541], [0.5888, 0.5888, 0.7459], [0.0766, 0.5888, 0.7459], [0.8564, 0.8564, 0.4307]], "magnetic_moment_mub_per_cell": 8.690, "ef_ev_per_atom": -0.202, "e_tot_ev_per_atom": -5.0217}


{"formula": "SmNpGa6", "functional": "GGA-PBE", "state": "optimized geometry", "lattice": [[-4.3621, -1.4591, 0.3183], [-1.3190, 2.7436, -5.4992], [2.0025, -5.9564, 0.1403]], "species": ["Np", "Ga", "Ga", "Sm", "Ga", "Ga", "Ga", "Ga"], "fractional_positions": [[0.5000, 0.4166, 0.5834], [0.5000, 0.4547, 0.1024], [0.5000, 0.8976, 0.5453], [0.0000, 0.0833, 0.9167], [0.0000, 0.5992, 0.9486], [0.0000, 0.0514, 0.4008], [0.5000, 0.8976, 0.1024], [0.0000, 0.5992, 0.4008]], "magnetic_moment_mub_per_cell": 3.964, "ef_ev_per_atom": -0.375, "e_tot_ev_per_atom": -4.8527}


{"formula": "SmNp4Ga15", "functional": "GGA-PBE", "state": "optimized geometry", "lattice": [[-0.8705, -3.3370, -2.5243], [1.1505, -2.6699, 3.1327], [-20.1857, -0.2082, 7.2363]], "species": ["Ga", "Ga", "Np", "Ga", "Np", "Ga", "Ga", "Ga", "Ga", "Sm", "Ga", "Ga", "Np", "Ga", "Ga", "Ga", "Ga", "Ga", "Ga", "Np"], "fractional_positions": [[0.5000, 0.0000, 0.1033], [0.5000, 0.0000, 0.3014], [0.0000, 0.0000, 0.5993], [0.0000, 0.5000, 0.5000], [0.0000, 0.0000, 0.4007], [0.0000, 0.5000, 0.3014], [0.0000, 0.5000, 0.6986], [0.5000, 0.5000, 0.4003], [0.0000, 0.5000, 0.1033], [0.0000, 0.0000, 0.0000], [0.5000, 0.0000, 0.5000], [0.5000, 0.0000, 0.6986], [0.0000, 0.0000, 0.2016], [0.5000, 0.5000, 0.2015], [0.5000, 0.0000, 0.8967], [0.5000, 0.5000, 0.0000], [0.5000, 0.5000, 0.7985], [0.0000, 0.5000, 0.8967], [0.5000, 0.5000, 0.5997], [0.0000, 0.0000, 0.7984]], "magnetic_moment_mub_per_cell": 15.572, "ef_ev_per_atom": -0.269, "e_tot_ev_per_atom": -5.3636}


{"formula": "NpGaSn", "functional": "GGA-PBE", "state": "optimized geometry", "lattice": [[3.0357, 0.0000, 0.0000], [0.0000, 4.7882, 0.0000], [0.0000, 0.0000, 9.7537]], "species": ["Np", "Sn", "Sn", "Ga", "Ga", "Np"], "fractional_positions": [[0.5000, 0.5000, 0.1797], [0.0000, 0.0000, 0.0000], [0.0000, 0.5000, 0.5000], [0.5000, 0.0000, 0.3621], [0.5000, 0.0000, 0.6379], [0.5000, 0.5000, 0.8203]], "magnetic_moment_mub_per_cell": 9.420, "ef_ev_per_atom": 0.113, "e_tot_ev_per_atom": -6.5437}


{"formula": "NpGaSn", "functional": "GGA-PBE", "state": "optimized geometry", "lattice": [[4.1324, 0.0000, 0.0000], [0.0000, 4.1324, 0.0000], [-2.0662, -2.0662, 4.3902]], "species": ["Np", "Ga", "Sn"], "fractional_positions": [[0.6202, 0.6202, 0.2404], [0.9562, 0.9562, 0.9123], [0.2737, 0.2737, 0.5473]], "magnetic_moment_mub_per_cell": 4.384, "ef_ev_per_atom": 0.247, "e_tot_ev_per_atom": -6.4096}